{
  "formula": "TaVZn2Re",
  "functional": "PBE",
  "state": "relaxed",
  "cell": [[-3.806, -0.861, -2.364], [-1.143, -3.125, 2.978], [-2.228, 3.143, 2.443]],
  "species": ["Re", "V", "Zn", "Zn", "Ta"],
  "frac_coords": [[0.500, 0.500, 0.500], [0.000, 0.000, 0.000], [0.000, 0.000, 0.500], [0.500, 0.000, 0.000], [0.000, 0.500, 0.000]],
  "sg": "P4/mmm",
  "formation_energy_mev_per_atom": 1626.8,
  "magnetic_moment_mub_per_cell": 1.89
}